# 1
Entry from OQMD via LeMat-Bulk: crystalline IrF5 at its relaxed geometry (PBE-GGA).

Unit cell a=4.5128 b=5.0244 c=6.9526 alpha=74.00 beta=89.95 gamma=64.77
Last column: magnetic moment on the atom in μB.
Atoms (fractional coordinates):
F (0.2235, 0.7146, 0.0351)  0.14
F (0.3657, 0.1080, 0.1451)  0.13
F (0.8252, 0.5075, 0.2384)  0.22
F (0.9707, 0.8980, 0.3541)  0.21
F (0.4241, 0.3028, 0.4466)  0.03
F (0.5759, 0.6972, 0.5534)  0.03
F (0.0293, 0.1020, 0.6459)  0.21
F (0.1748, 0.4924, 0.7616)  0.22
F (0.6343, 0.8920, 0.8549)  0.13
F (0.7765, 0.2855, 0.9649)  0.14
Ir (0.3903, 0.7198, 0.2794)  1.17
Ir (0.6097, 0.2802, 0.7206)  1.17

Output
**Symmetry**: No. 2
**Calculated density**: 7.02 g/cm³
**ΔE to the lowest computed polymorph**: 0.0000 eV/atom
**E_tot**: -4.336 eV per atom

# 2
Entry from OQMD via LeMat-Bulk: crystalline Co2ReNi at its relaxed geometry (PBE-GGA).

Unit cell a=4.0983 b=5.1333 c=5.1333 alpha=59.73 beta=90.00 gamma=90.00
Last column: magnetic moment on the atom in μB.
Atoms (fractional coordinates):
Co (0.0000, 0.6655, 0.1652)  1.35
Co (0.0000, 0.1714, 0.1714)  0.83
Co (0.0000, 0.1652, 0.6655)  1.39
Co (0.5000, 0.8321, 0.8321)  1.23
Ni (0.5000, 0.3324, 0.3324)  0.34
Ni (0.0000, 0.6725, 0.6725)  0.32
Re (0.5000, 0.8325, 0.3285)  -0.01
Re (0.5000, 0.3285, 0.8325)  -0.03

Output
**Symmetry**: No. 38
**Calculated density**: 12.92 g/cm³
**ΔE to the lowest computed polymorph**: 0.0155 eV/atom
**Energy relative to the elements**: 47 meV per atom
**E_tot**: -8.004 eV per atom

# 3
Entry from OQMD via LeMat-Bulk: crystalline GdPuTl at its relaxed geometry (PBE-GGA).

Unit cell a=5.2465 b=5.2465 c=5.2465 alpha=60.00 beta=60.00 gamma=60.00
Atoms (fractional coordinates):
Gd (0.2500, 0.2500, 0.2500)
Pu (0.7500, 0.7500, 0.7500)
Tl (0.0000, 0.0000, 0.0000)

Output
**Symmetry**: No. 216
**Calculated density**: 9.85 g/cm³
**ΔE to the lowest computed polymorph**: 0.0000 eV/atom
**E_tot**: -6.874 eV per atom

# 4
Entry from OQMD via LeMat-Bulk: crystalline NdSmI3 at its relaxed geometry (PBE-GGA).

Unit cell a=9.5697 b=9.5697 c=11.9327 alpha=120.51 beta=120.51 gamma=25.46
Atoms (fractional coordinates):
I (0.2235, 0.2235, 0.1224)
I (0.9587, 0.9587, 0.2694)
I (0.3384, 0.3384, 0.4934)
I (0.6616, 0.6616, 0.5066)
I (0.0413, 0.0413, 0.7306)
I (0.7765, 0.7765, 0.8776)
Nd (0.4247, 0.4247, 0.0453)
Nd (0.5753, 0.5753, 0.9547)
Sm (0.1331, 0.1331, 0.2820)
Sm (0.8669, 0.8669, 0.7180)

Output
**Symmetry**: No. 12
**Calculated density**: 5.59 g/cm³
**E_tot**: -3.941 eV per atom

# 5
Entry from OQMD via LeMat-Bulk: crystalline Cs3SrAg2C7S7N7 at its relaxed geometry (PBE-GGA).

Unit cell a=12.7223 b=11.1116 c=11.1116 alpha=90.00 beta=115.89 gamma=115.89
Atoms (fractional coordinates):
Ag (0.8111, 0.5616, 0.2494)
Ag (0.1889, 0.4384, 0.4384)
Ag (0.8111, 0.2494, 0.5616)
Ag (0.1889, 0.7506, 0.7506)
C (0.2961, 0.8340, 0.0827)
C (0.7039, 0.7866, 0.1660)
C (0.9800, 0.1937, 0.1937)
C (0.2961, 0.4621, 0.2134)
C (0.0200, 0.8063, 0.2137)
C (0.5832, 0.2916, 0.2916)
C (0.2961, 0.2134, 0.4621)
C (0.7039, 0.9173, 0.5379)
C (0.4168, 0.7084, 0.7084)
C (0.9800, 0.7863, 0.7863)
C (0.7039, 0.1660, 0.7866)
C (0.0200, 0.2137, 0.8063)
C (0.2961, 0.0827, 0.8340)
C (0.7039, 0.5379, 0.9173)
Cs (0.0000, 0.5000, 0.0000)
Cs (0.5924, 0.0579, 0.0579)
Cs (0.4076, 0.9421, 0.4655)
Cs (0.0000, 0.0000, 0.5000)
Cs (0.5924, 0.5345, 0.5345)
Cs (0.4076, 0.4655, 0.9421)
N (0.7173, 0.8597, 0.0900)
N (0.9954, 0.8676, 0.1278)
N (0.0046, 0.1324, 0.1324)
N (0.2827, 0.3727, 0.1403)
N (0.2827, 0.9100, 0.1424)
N (0.4651, 0.2326, 0.2326)
N (0.2827, 0.1403, 0.3727)
N (0.7173, 0.8576, 0.6273)
N (0.5349, 0.7674, 0.7674)
N (0.7173, 0.6273, 0.8576)
N (0.7173, 0.0900, 0.8597)
N (0.9954, 0.1278, 0.8676)
N (0.0046, 0.8722, 0.8722)
N (0.2827, 0.1424, 0.9100)
S (0.6859, 0.4145, 0.0000)
S (0.3141, 0.7286, 0.0000)
S (0.6859, 0.6859, 0.2714)
S (0.9426, 0.2771, 0.2771)
S (0.3141, 0.5855, 0.3141)
S (0.0574, 0.7229, 0.3345)
S (0.7483, 0.3741, 0.3741)
S (0.6859, 0.0000, 0.4145)
S (0.3141, 0.3141, 0.5855)
S (0.2517, 0.6259, 0.6259)
S (0.9426, 0.6655, 0.6655)
S (0.6859, 0.2714, 0.6859)
S (0.0574, 0.3345, 0.7229)
S (0.3141, 0.0000, 0.7286)
Sr (0.1919, 0.0959, 0.0959)
Sr (0.8081, 0.9041, 0.9041)

Output
**Symmetry**: No. 121
**Calculated density**: 2.98 g/cm³
**E_tot**: -6.262 eV per atom

# 6
Entry from OQMD via LeMat-Bulk: crystalline MgZnCoSe3 at its relaxed geometry (PBE-GGA).

Unit cell a=6.3824 b=6.3824 c=10.6305 alpha=90.00 beta=90.00 gamma=33.61
Last column: magnetic moment on the atom in μB.
Atoms (fractional coordinates):
Co (0.4762, 0.4762, 0.2500)  1.88
Co (0.5238, 0.5238, 0.7500)  1.89
Mg (0.7741, 0.7741, 0.2500)  0.00
Mg (0.2259, 0.2259, 0.7500)  0.00
Se (0.3600, 0.3600, 0.0707)  0.12
Se (0.0968, 0.0968, 0.2500)  0.14
Se (0.3600, 0.3600, 0.4293)  0.12
Se (0.6400, 0.6400, 0.5707)  0.12
Se (0.9032, 0.9032, 0.7500)  0.14
Se (0.6400, 0.6400, 0.9293)  0.12
Zn (0.0000, 0.0000, 0.0000)  0.01
Zn (0.0000, 0.0000, 0.5000)  0.01

Output
**Symmetry**: No. 63
**Calculated density**: 5.34 g/cm³
**ΔE to the lowest computed polymorph**: 0.0000 eV/atom
**E_tot**: -3.774 eV per atom

# 7
Entry from OQMD via LeMat-Bulk: crystalline KTe2MoAuS at its relaxed geometry (PBE-GGA).

Unit cell a=8.1091 b=8.1091 c=10.2389 alpha=90.00 beta=90.00 gamma=150.97
Last column: magnetic moment on the atom in μB.
Atoms (fractional coordinates):
Au (0.4572, 0.5428, 0.2500)  -0.01
Au (0.5428, 0.4572, 0.7500)  -0.01
K (0.7553, 0.2447, 0.2500)  0.00
K (0.2447, 0.7553, 0.7500)  0.00
Mo (0.0000, 0.0000, 0.0000)  2.02
Mo (0.0000, 0.0000, 0.5000)  2.01
S (0.0529, 0.9471, 0.2500)  -0.05
S (0.9471, 0.0529, 0.7500)  -0.05
Te (0.3746, 0.6254, 0.0209)  -0.06
Te (0.3746, 0.6254, 0.4791)  -0.06
Te (0.6254, 0.3746, 0.5209)  -0.06
Te (0.6254, 0.3746, 0.9791)  -0.06

Output
**Symmetry**: No. 63
**Calculated density**: 6.29 g/cm³
**E_tot**: -4.473 eV per atom

# 8
Entry from OQMD via LeMat-Bulk: crystalline NdLuW at its relaxed geometry (PBE-GGA).

Unit cell a=4.8836 b=4.8836 c=4.8836 alpha=60.00 beta=60.00 gamma=60.00
Atoms (fractional coordinates):
Lu (0.2500, 0.2500, 0.2500)
Nd (0.7500, 0.7500, 0.7500)
W (0.0000, 0.0000, 0.0000)

Output
**Symmetry**: No. 216
**Calculated density**: 10.14 g/cm³
**ΔE to the lowest computed polymorph**: 0.0000 eV/atom
**Energy relative to the elements**: 864 meV per atom
**E_tot**: -6.552 eV per atom

# 9
Entry from OQMD via LeMat-Bulk: crystalline Na2InCuF7 at its relaxed geometry (PBE-GGA).

Unit cell a=7.2034 b=7.2034 c=7.2034 alpha=120.17 beta=90.62 gamma=119.11
Atoms (fractional coordinates):
Cu (0.0000, 0.5000, 0.0000)
Cu (0.0000, 0.0000, 0.5000)
F (0.3496, 0.2464, 0.1032)
F (0.9228, 0.2736, 0.1099)
F (0.3363, 0.7264, 0.1492)
F (0.9493, 0.6993, 0.2500)
F (0.0772, 0.1871, 0.3508)
F (0.6637, 0.8129, 0.3901)
F (0.6432, 0.2464, 0.3968)
F (0.3568, 0.7536, 0.6032)
F (0.3363, 0.1871, 0.6099)
F (0.9228, 0.8129, 0.6492)
F (0.0507, 0.3007, 0.7500)
F (0.6637, 0.2736, 0.8508)
F (0.0772, 0.7264, 0.8901)
F (0.6504, 0.7536, 0.8968)
In (0.0000, 0.0000, 0.0000)
In (0.5000, 0.0000, 0.5000)
Na (0.5000, 0.0000, 0.0000)
Na (0.5000, 0.5000, 0.0000)
Na (0.0000, 0.5000, 0.5000)
Na (0.5000, 0.5000, 0.5000)

Output
**Symmetry**: No. 74
**Calculated density**: 4.47 g/cm³
**ΔE to the lowest computed polymorph**: 0.0271 eV/atom
**E_tot**: -4.299 eV per atom

# 10
Entry from OQMD via LeMat-Bulk: crystalline ScAgF3 at its relaxed geometry (PBE-GGA).

Unit cell a=5.5799 b=5.5799 c=5.5799 alpha=68.04 beta=68.04 gamma=68.04
Last column: magnetic moment on the atom in μB.
Atoms (fractional coordinates):
Ag (0.0000, 0.0000, 0.0000)  0.04
Ag (0.5000, 0.5000, 0.5000)  0.04
F (0.4399, 0.7500, 0.0601)  0.01
F (0.9399, 0.5601, 0.2500)  0.01
F (0.7500, 0.0601, 0.4399)  0.01
F (0.2500, 0.9399, 0.5601)  0.01
F (0.0601, 0.4399, 0.7500)  0.01
F (0.5601, 0.2500, 0.9399)  0.01
Sc (0.2500, 0.2500, 0.2500)  0.34
Sc (0.7500, 0.7500, 0.7500)  0.34

Output
**Symmetry**: No. 167
**Calculated density**: 4.85 g/cm³
**ΔE to the lowest computed polymorph**: 0.4174 eV/atom
**E_tot**: -5.232 eV per atom

# 11
Entry from OQMD via LeMat-Bulk: crystalline Er2TmMg3In3 at its relaxed geometry (PBE-GGA).

Unit cell a=4.6469 b=7.4508 c=7.4508 alpha=119.91 beta=90.00 gamma=90.00
Atoms (fractional coordinates):
Er (0.0000, 0.9998, 0.5637)
Er (0.0000, 0.5637, 0.9998)
In (0.0000, 0.0009, 0.0009)
In (0.5000, 0.6661, 0.3335)
In (0.5000, 0.3335, 0.6661)
Mg (0.5000, 0.2416, 0.0000)
Mg (0.5000, 0.0000, 0.2416)
Mg (0.5000, 0.7586, 0.7586)
Tm (0.0000, 0.4359, 0.4359)

Output
**Symmetry**: No. 38
**Calculated density**: 6.84 g/cm³
**E_tot**: -3.307 eV per atom

# 12
Entry from OQMD via LeMat-Bulk: crystalline HoInNO at its relaxed geometry (PBE-GGA).

Unit cell a=6.8671 b=7.5354 c=5.1575 alpha=90.00 beta=90.00 gamma=90.00
Atoms (fractional coordinates):
Ho (0.0877, 0.1330, 0.0166)
Ho (0.5877, 0.8670, 0.0166)
Ho (0.4123, 0.1330, 0.5166)
Ho (0.9123, 0.8670, 0.5166)
In (0.6113, 0.3501, 0.0108)
In (0.1113, 0.6499, 0.0108)
In (0.8887, 0.3501, 0.5108)
In (0.3887, 0.6499, 0.5108)
N (0.4102, 0.1196, 0.0698)
N (0.9102, 0.8804, 0.0698)
N (0.0898, 0.1196, 0.5698)
N (0.5898, 0.8804, 0.5698)
O (0.9842, 0.4008, 0.1052)
O (0.4842, 0.5992, 0.1052)
O (0.5158, 0.4008, 0.6052)
O (0.0158, 0.5992, 0.6052)

Output
**Symmetry**: No. 29
**Calculated density**: 7.71 g/cm³
**ΔE to the lowest computed polymorph**: 0.0167 eV/atom
**E_tot**: -6.467 eV per atom

# 13
Entry from OQMD via LeMat-Bulk: crystalline LuMgGaNi at its relaxed geometry (PBE-GGA).

Unit cell a=4.6538 b=4.6538 c=4.6538 alpha=60.00 beta=60.00 gamma=60.00
Atoms (fractional coordinates):
Ga (0.0000, 0.0000, 0.0000)
Lu (0.2500, 0.2500, 0.2500)
Mg (0.7500, 0.7500, 0.7500)
Ni (0.5000, 0.5000, 0.5000)

Output
**Symmetry**: No. 216
**Calculated density**: 7.63 g/cm³
**ΔE to the lowest computed polymorph**: 0.0000 eV/atom
**E_tot**: -4.039 eV per atom

# 14
Entry from OQMD via LeMat-Bulk: crystalline KRb2OsBr6 at its relaxed geometry (PBE-GGA).

Unit cell a=7.9592 b=7.9592 c=7.9592 alpha=60.00 beta=60.00 gamma=60.00
Last column: magnetic moment on the atom in μB.
Atoms (fractional coordinates):
Br (0.7240, 0.2760, 0.2760)  0.02
Br (0.2760, 0.7240, 0.2760)  0.01
Br (0.7240, 0.7240, 0.2760)  0.04
Br (0.2760, 0.2760, 0.7240)  0.04
Br (0.7240, 0.2760, 0.7240)  0.01
Br (0.2760, 0.7240, 0.7240)  0.02
K (0.0000, 0.0000, 0.0000)  0.00
Os (0.5000, 0.5000, 0.5000)  0.75
Rb (0.2500, 0.2500, 0.2500)  0.00
Rb (0.7500, 0.7500, 0.7500)  0.00

Output
**Symmetry**: No. 225
**Calculated density**: 4.10 g/cm³
**E_tot**: -3.434 eV per atom

# 15
Entry from OQMD via LeMat-Bulk: crystalline KAcEr at its relaxed geometry (PBE-GGA).

Unit cell a=6.1091 b=6.1091 c=6.1091 alpha=60.00 beta=60.00 gamma=60.00
Atoms (fractional coordinates):
Ac (0.2500, 0.2500, 0.2500)
Er (0.0000, 0.0000, 0.0000)
K (0.7500, 0.7500, 0.7500)

Output
**Symmetry**: No. 216
**Calculated density**: 4.46 g/cm³
**ΔE to the lowest computed polymorph**: 0.0000 eV/atom
**E_tot**: -2.253 eV per atom

# 16
Entry from OQMD via LeMat-Bulk: crystalline ErSi2Ir at its relaxed geometry (PBE-GGA).

Unit cell a=4.4079 b=4.5902 c=7.1564 alpha=89.99 beta=89.99 gamma=90.00
Atoms (fractional coordinates):
Er (0.4996, 0.9537, 0.2960)
Er (0.4996, 0.0444, 0.7960)
Ir (0.9998, 0.2747, 0.1421)
Ir (0.9998, 0.7233, 0.6421)
Si (0.4997, 0.4813, 0.0620)
Si (0.9997, 0.2252, 0.4992)
Si (0.4997, 0.5168, 0.5621)
Si (0.9997, 0.7728, 0.9992)

Output
**Symmetry**: No. 26
**Calculated density**: 9.53 g/cm³
**E_tot**: -6.652 eV per atom

# 17
Entry from OQMD via LeMat-Bulk: crystalline LaTb2Bi3 at its relaxed geometry (PBE-GGA).

Unit cell a=4.5322 b=4.5322 c=11.1307 alpha=90.00 beta=90.00 gamma=120.00
Atoms (fractional coordinates):
Bi (0.0000, 0.0000, 0.0000)
Bi (0.3333, 0.6667, 0.3234)
Bi (0.6667, 0.3333, 0.6766)
La (0.0000, 0.0000, 0.5000)
Tb (0.6667, 0.3333, 0.1612)
Tb (0.3333, 0.6667, 0.8388)

Output
**Symmetry**: No. 164
**Calculated density**: 9.09 g/cm³
**E_tot**: -5.336 eV per atom

# 18
Entry from OQMD via LeMat-Bulk: crystalline GdBiN2O at its relaxed geometry (PBE-GGA).

Unit cell a=3.6647 b=6.7124 c=6.0857 alpha=90.00 beta=90.00 gamma=90.00
Atoms (fractional coordinates):
Bi (0.0000, 0.8306, 0.2242)
Bi (0.0000, 0.1694, 0.7242)
Gd (0.5000, 0.3541, 0.1873)
Gd (0.5000, 0.6459, 0.6873)
N (0.0000, 0.1183, 0.0936)
N (0.5000, 0.6860, 0.2960)
N (0.0000, 0.8817, 0.5936)
N (0.5000, 0.3140, 0.7960)
O (0.0000, 0.3991, 0.4494)
O (0.0000, 0.6009, 0.9494)

Output
**Symmetry**: No. 26
**Calculated density**: 9.10 g/cm³
**E_tot**: -6.681 eV per atom

# 19
Entry from OQMD via LeMat-Bulk: crystalline Sm4AsClO8 at its relaxed geometry (PBE-GGA).

Unit cell a=12.7229 b=5.8622 c=5.8077 alpha=90.00 beta=90.00 gamma=90.00
Atoms (fractional coordinates):
As (0.5000, 0.9486, 0.2860)
As (0.0000, 0.0514, 0.7860)
Cl (0.0000, 0.5565, 0.2888)
Cl (0.5000, 0.4435, 0.7888)
O (0.0000, 0.0080, 0.0783)
O (0.3932, 0.0720, 0.1581)
O (0.6068, 0.0720, 0.1581)
O (0.5000, 0.6595, 0.2408)
O (0.2753, 0.7428, 0.4757)
O (0.7247, 0.7428, 0.4757)
O (0.2505, 0.2602, 0.4842)
O (0.7495, 0.2602, 0.4842)
O (0.5000, 0.9920, 0.5783)
O (0.1068, 0.9280, 0.6581)
O (0.8932, 0.9280, 0.6581)
O (0.0000, 0.3405, 0.7408)
O (0.2247, 0.2572, 0.9757)
O (0.7753, 0.2572, 0.9757)
O (0.2495, 0.7398, 0.9842)
O (0.7505, 0.7398, 0.9842)
Sm (0.3341, 0.4781, 0.2115)
Sm (0.6659, 0.4781, 0.2115)
Sm (0.1741, 0.9858, 0.2505)
Sm (0.8259, 0.9858, 0.2505)
Sm (0.1659, 0.5219, 0.7115)
Sm (0.8341, 0.5219, 0.7115)
Sm (0.3259, 0.0142, 0.7505)
Sm (0.6741, 0.0142, 0.7505)

Output
**Symmetry**: No. 31
**Calculated density**: 6.44 g/cm³
**E_tot**: -7.518 eV per atom

# 20
Entry from OQMD via LeMat-Bulk: crystalline Sm3Mg3PdAu2 at its relaxed geometry (PBE-GGA).

Unit cell a=7.6847 b=7.6847 c=4.1223 alpha=90.00 beta=90.00 gamma=120.00
Atoms (fractional coordinates):
Au (0.6667, 0.3333, 0.5000)
Au (0.3333, 0.6667, 0.5000)
Mg (0.7624, 0.0000, 0.5000)
Mg (0.2376, 0.2376, 0.5000)
Mg (0.0000, 0.7624, 0.5000)
Pd (0.0000, 0.0000, 0.0000)
Sm (0.4118, 0.0000, 0.0000)
Sm (0.0000, 0.4118, 0.0000)
Sm (0.5882, 0.5882, 0.0000)

Output
**Symmetry**: No. 189
**Calculated density**: 8.07 g/cm³
**E_tot**: -4.055 eV per atom